Entry 1:
MgMo3P: optimized geometry, PBEsol.

Its total energy is -30.57 eV/cell. The calculation puts the calculated formation energy at 2.4481 eV/atom. Its spin magnetization is 0.02 μB/f.u.

a = 4.495 Å, b = 4.495 Å, c = 4.495 Å
α = 90.00°, β = 90.00°, γ = 90.00°
Sites, in units of the cell vectors:
Mg: 0.000 0.000 0.000
Mo: 0.000 0.000 0.500
Mo: 0.000 0.500 0.000
Mo: 0.500 0.000 0.000
P: 0.500 0.500 0.500

Entry 2:
Mg2MoP: optimized geometry, PBEsol.

Its total energy is -41.29 eV/cell. The calculation puts the calculated formation energy at 0.0869 eV/atom. Its spin magnetization is 0.00 μB/f.u.

a = 3.677 Å, b = 3.677 Å, c = 9.160 Å
α = 90.00°, β = 90.00°, γ = 90.00°
Sites, in units of the cell vectors:
Mg: 0.000 0.500 0.250
Mg: 0.000 0.500 0.750
Mg: 0.500 0.000 0.250
Mg: 0.500 0.000 0.750
Mo: 0.000 0.000 0.000
Mo: 0.500 0.500 0.500
P: 0.000 0.000 0.500
P: 0.500 0.500 0.000

Entry 3:
MgTaMo2Pb: optimized geometry, PBEsol.

Its total energy is -30.22 eV/cell. The calculation puts the calculated formation energy at 2.3170 eV/atom. Its spin magnetization is 1.21 μB/f.u.

a = 4.995 Å, b = 4.995 Å, c = 4.656 Å
α = 90.00°, β = 90.00°, γ = 90.00°
Sites, in units of the cell vectors:
Mg: 0.000 0.000 0.000
Ta: 0.500 0.500 0.000
Mo: 0.000 0.500 0.500
Mo: 0.500 0.000 0.500
Pb: 0.000 0.000 0.500

Entry 4:
MgSnMoPd2: optimized geometry, PBEsol.

Its total energy is -24.87 eV/cell. The calculation puts the calculated formation energy at 0.9574 eV/atom. Its spin magnetization is 2.09 μB/f.u.

a = 4.855 Å, b = 4.855 Å, c = 5.001 Å
α = 90.00°, β = 90.00°, γ = 90.00°
Sites, in units of the cell vectors:
Mg: 0.000 0.000 0.000
Sn: 0.500 0.500 0.500
Mo: 0.500 0.500 0.000
Pd: 0.000 0.500 0.500
Pd: 0.500 0.000 0.500

Entry 5:
MgMoPt2: optimized geometry, PBEsol.

Its total energy is -56.11 eV/cell. The calculation puts the calculated formation energy at -0.1610 eV/atom. Its spin magnetization is 0.00 μB/f.u.

a = 9.006 Å, b = 2.747 Å, c = 5.037 Å
α = 90.00°, β = 98.22°, γ = 90.00°
Sites, in units of the cell vectors:
Mg: 0.000 0.000 0.000
Mg: 0.500 0.500 0.000
Mo: 0.000 0.500 0.500
Mo: 0.500 0.000 0.500
Pt: 0.249 0.000 0.742
Pt: 0.251 0.500 0.258
Pt: 0.749 0.500 0.742
Pt: 0.751 0.000 0.258

Entry 6:
MgMoPt3: optimized geometry, PBEsol.

Its total energy is -28.27 eV/cell. The calculation puts the calculated formation energy at 1.2202 eV/atom. Its spin magnetization is 3.96 μB/f.u.

a = 4.486 Å, b = 4.486 Å, c = 4.486 Å
α = 90.00°, β = 90.00°, γ = 90.00°
Sites, in units of the cell vectors:
Mg: 0.000 0.000 0.000
Mo: 0.500 0.500 0.500
Pt: 0.000 0.000 0.500
Pt: 0.000 0.500 0.000
Pt: 0.500 0.000 0.000

Entry 7:
MgMoPt2: optimized geometry, PBEsol.

Its total energy is -29.59 eV/cell. The calculation puts the calculated formation energy at -0.5434 eV/atom. Its spin magnetization is 0.00 μB/f.u.

a = 2.783 Å, b = 2.783 Å, c = 7.820 Å
α = 90.00°, β = 90.00°, γ = 90.00°
Sites, in units of the cell vectors:
Mg: 0.000 0.000 0.000
Mo: 0.000 0.000 0.500
Pt: 0.500 0.500 0.256
Pt: 0.500 0.500 0.744

Entry 8:
MgMoPt2: optimized geometry, PBEsol.

Its total energy is -58.04 eV/cell. The calculation puts the calculated formation energy at -0.4017 eV/atom. Its spin magnetization is 0.25 μB/f.u.

a = 5.713 Å, b = 7.656 Å, c = 2.770 Å
α = 90.00°, β = 90.00°, γ = 90.00°
Sites, in units of the cell vectors:
Mg: 0.000 0.000 0.000
Mg: 0.500 0.500 0.000
Mo: 0.000 0.500 0.000
Mo: 0.500 0.000 0.000
Pt: 0.250 0.250 0.500
Pt: 0.250 0.750 0.500
Pt: 0.750 0.250 0.500
Pt: 0.750 0.750 0.500

Number 1: density 6.3 g/cm3. Number 2: density 4.7 g/cm3. Number 3: density 8.6 g/cm3. Number 4: density 6.4 g/cm3. Number 5: density 13.7 g/cm3. Number 6: density 13.0 g/cm3. Number 7: density 14.0 g/cm3. Number 8: density 14.0 g/cm3.